VASP calculation (GGA+U) on a geometry-optimized Li2OsWO6 structure.

Computed properties:
**Calculated volume**: 12.1 A^3/atom
**Calculated total energy**: -6.846 eV/atom

Cell: 5.637 5.637 3.822 Å, 90.00 90.00 90.00°
Space group P4mm (No. 99)
One atom of each set of equivalent atoms:
Li (0.000, 0.500, 0.000) [2 per cell]
Os (0.000, 0.000, 0.904) [1 per cell]
W (0.500, 0.500, 0.894) [1 per cell]
O (0.000, 0.000, 0.405) [1 per cell]
O (0.256, 0.256, 0.910) [4 per cell]
O (0.500, 0.500, 0.401) [1 per cell]